Entry 1:
BaGa2I: relaxed, PBE.

Results
DOS(E_F): 2.6 states/eV/cell
Raw formation energy: -0.117 eV per atom
Total magnetic moment: 0.0 μB per cell
ΔE to the lowest computed polymorph: 0.083 eV per atom

abc: 5.6526 5.6526 5.6526
angles: 60.00 60.00 60.00
Sites, in units of the cell vectors:
Ba: 0.5000 0.5000 0.5000
I: 0.0000 0.0000 0.0000
Ga: 0.7500 0.7500 0.7500
Ga: 0.2500 0.2500 0.2500



Entry 2:
BaGa3I12: relaxed, PBE.

Results
DOS(E_F): 53.4 states/eV/cell
Raw formation energy: -0.666 eV per atom
Total magnetic moment: 0.0 μB per cell

abc: 12.8349 12.8349 14.6497
angles: 64.02 64.02 60.00
Sites, in units of the cell vectors:
I: 0.2365 0.8584 0.6515
I: 0.3881 0.3955 0.3267
I: 0.8897 0.3881 0.3267
I: 0.7540 0.1093 0.0394
I: 0.6093 0.2540 0.5394
I: 0.8584 0.2536 0.6515
I: 0.5973 0.6093 0.5394
I: 0.9876 0.9948 0.4757
I: 0.0973 0.7540 0.0394
I: 0.4876 0.0418 0.9757
I: 0.7536 0.3584 0.1515
I: 0.5418 0.9876 0.4757
I: 0.1093 0.0973 0.0394
I: 0.3897 0.8955 0.8267
I: 0.2536 0.2365 0.6515
I: 0.0418 0.4948 0.9757
I: 0.7365 0.7536 0.1515
I: 0.2540 0.5973 0.5394
I: 0.9948 0.5418 0.4757
I: 0.8955 0.8881 0.8267
I: 0.3955 0.8897 0.3267
I: 0.8881 0.3897 0.8267
I: 0.3584 0.7365 0.1515
I: 0.4948 0.4876 0.9757
Ga: 0.9454 0.7132 0.9982
Ga: 0.3432 0.9454 0.9982
Ga: 0.8432 0.2132 0.4982
Ga: 0.4454 0.8432 0.4982
Ga: 0.7132 0.3432 0.9982
Ga: 0.2132 0.4454 0.4982
Ba: 0.0540 0.0540 0.8379
Ba: 0.5540 0.5540 0.3379



Entry 3:
BaGaI3: relaxed, PBE.

Results
DOS(E_F): 0.1 states/eV/cell
Raw formation energy: -0.931 eV per atom
Total magnetic moment: 0.0 μB per cell
ΔE to the lowest computed polymorph: 0.246 eV per atom

abc: 5.9653 5.9653 5.9653
angles: 90.00 90.00 90.00
Sites, in units of the cell vectors:
Ga: 0.0000 0.0000 0.0000
I: 0.0000 0.5000 0.0000
I: 0.0000 0.0000 0.5000
I: 0.5000 0.0000 0.0000
Ba: 0.5000 0.5000 0.5000



Entry 4:
BaGaI: relaxed, PBE.

Results
DOS(E_F): 2.0 states/eV/cell
Raw formation energy: -0.921 eV per atom
Total magnetic moment: 0.0 μB per cell

abc: 9.6327 4.4756 12.8391
angles: 90.00 112.63 90.00
Sites, in units of the cell vectors:
Ga: 0.6806 0.0000 0.1994
Ga: 0.5913 0.5000 0.1261
Ga: 0.5913 0.0000 0.6261
Ga: 0.6806 0.5000 0.6994
Ba: 0.9907 0.5000 0.2892
Ba: 0.9907 0.0000 0.7892
Ba: 0.5945 0.5000 0.4084
Ba: 0.5945 0.0000 0.9084
I: 0.2754 0.5000 0.7980
I: 0.2754 0.0000 0.2980
I: 0.9402 0.0000 0.4923
I: 0.9402 0.5000 0.9923



Entry 5:
Ba3GaI: relaxed, PBE.

Results
DOS(E_F): 3.7 states/eV/cell
Raw formation energy: -0.433 eV per atom
Total magnetic moment: 0.0 μB per cell
ΔE to the lowest computed polymorph: 0.177 eV per atom

abc: 6.5170 6.5170 6.5170
angles: 90.00 90.00 90.00
Sites, in units of the cell vectors:
Ba: 0.0000 0.0000 0.5000
Ba: 0.5000 0.0000 0.0000
Ba: 0.0000 0.5000 0.0000
I: 0.5000 0.5000 0.5000
Ga: 0.0000 0.0000 0.0000



Entry 6:
Ba2Ga2I: relaxed, PBE.

Results
DOS(E_F): 8.6 states/eV/cell
Raw formation energy: -0.589 eV per atom
Total magnetic moment: 0.0 μB per cell

abc: 9.6772 9.6772 4.3716
angles: 90.00 90.00 90.00
Sites, in units of the cell vectors:
Ga: 0.4109 0.0891 0.5000
Ga: 0.0891 0.5891 0.5000
Ga: 0.9109 0.4109 0.5000
Ga: 0.5891 0.9109 0.5000
Ba: 0.1984 0.3016 0.0000
Ba: 0.6984 0.1984 0.0000
Ba: 0.3016 0.8016 0.0000
Ba: 0.8016 0.6984 0.0000
I: 0.0000 0.0000 0.0000
I: 0.5000 0.5000 0.0000



Entry 7:
Ba4Ga2I: relaxed, PBE.

Results
DOS(E_F): 9.9 states/eV/cell
Raw formation energy: -0.537 eV per atom
Total magnetic moment: 0.0 μB per cell

abc: 8.7692 9.6241 8.7616
angles: 74.89 70.34 110.15
Sites, in units of the cell vectors:
Ga: 0.4089 0.3735 0.3820
Ga: 0.1384 0.8749 0.4867
Ga: 0.7449 0.3764 0.7145
Ga: 0.7301 0.3752 0.3949
Ba: 0.2805 0.2407 0.0835
Ba: 0.7497 0.7126 0.4433
Ba: 0.6101 0.1240 0.1964
Ba: 0.9274 0.1333 0.5791
Ba: 0.7872 0.6169 0.9561
Ba: 0.1749 0.5090 0.7112
Ba: 0.1792 0.6260 0.2641
Ba: 0.3442 0.0371 0.7129
I: 0.9247 0.0022 0.9980
I: 0.5000 0.7481 0.8273



Entry 8:
Ba2Ga2I: relaxed, PBE.

Results
DOS(E_F): 2.5 states/eV/cell
Raw formation energy: -0.904 eV per atom
Total magnetic moment: 0.0 μB per cell

abc: 4.5829 4.5829 10.1000
angles: 90.01 103.10 120.00
Sites, in units of the cell vectors:
Ba: 0.1589 0.5796 0.7386
Ba: 0.8411 0.4204 0.2614
I: 0.0000 0.0000 0.0000
Ga: 0.6695 0.8347 0.5042
Ga: 0.3305 0.1653 0.4958



Entry 9:
BaGaI4: relaxed, PBE.

Results
DOS(E_F): 2.3 states/eV/cell
Raw formation energy: -1.010 eV per atom
Total magnetic moment: 0.0 μB per cell
ΔE to the lowest computed polymorph: 0.000 eV per atom

abc: 6.9478 9.1593 11.3757
angles: 90.00 90.00 118.57
Sites, in units of the cell vectors:
I: 0.4103 0.2799 0.2500
I: 0.2873 0.0665 0.7500
I: 0.9277 0.2981 0.5678
I: 0.0723 0.7019 0.4322
I: 0.0723 0.7019 0.0678
I: 0.9277 0.2981 0.9322
I: 0.5897 0.7201 0.7500
I: 0.7127 0.9335 0.2500
Ba: 0.0350 0.6372 0.7500
Ba: 0.9650 0.3628 0.2500
Ga: 0.8976 0.0762 0.7500
Ga: 0.1024 0.9238 0.2500



Entry 10:
BaGaI: relaxed, PBE.

Results
DOS(E_F): 2.0 states/eV/cell
Raw formation energy: -0.606 eV per atom
Total magnetic moment: 0.0 μB per cell

abc: 4.4089 4.4089 6.5916
angles: 90.00 90.00 90.00
Sites, in units of the cell vectors:
Ga: 0.5000 0.5000 0.0986
I: 0.5000 0.5000 0.6431
Ba: 0.0000 0.0000 0.3539



Entry 11:
Ba4GaI5: relaxed, PBE.

Results
DOS(E_F): 4.4 states/eV/cell
Raw formation energy: -1.358 eV per atom
Total magnetic moment: 1.7 μB per cell

abc: 5.0120 10.0135 11.2877
angles: 106.83 102.83 90.00
Sites, in units of the cell vectors:
Ba: 0.0000 0.2411 0.0001
Ba: 0.6637 0.1107 0.3273
Ba: 0.3363 0.8893 0.6727
Ba: 0.0000 0.7589 0.9999
I: 0.1695 0.8630 0.3391
I: 0.1661 0.3494 0.3322
I: 0.5000 0.5000 0.0000
I: 0.8305 0.1370 0.6609
I: 0.8339 0.6506 0.6678
Ga: 0.5000 0.0000 0.0000



Entry 12:
BaGa2I6: relaxed, PBE.

Results
DOS(E_F): 0.0 states/eV/cell
Raw formation energy: -0.918 eV per atom
Total magnetic moment: 0.0 μB per cell

abc: 8.0509 8.0509 9.7925
angles: 65.73 65.73 60.00
Sites, in units of the cell vectors:
I: 0.8944 0.2891 0.2609
I: 0.0637 0.7386 0.7405
I: 0.5556 0.8944 0.2609
I: 0.4572 0.0637 0.7405
I: 0.2891 0.5556 0.2609
I: 0.7386 0.4572 0.7405
Ba: 0.3342 0.3342 0.9975
Ga: 0.6191 0.6191 0.1428
Ga: 0.7138 0.7138 0.8585



Entry 13:
Ba4GaI3: relaxed, PBE.

Results
DOS(E_F): 12.4 states/eV/cell
Raw formation energy: -1.122 eV per atom
Total magnetic moment: 0.0 μB per cell

abc: 8.6768 8.8353 10.1546
angles: 90.00 90.00 109.02
Sites, in units of the cell vectors:
Ba: 0.9755 0.2283 0.6449
Ba: 0.4963 0.7815 0.1060
Ba: 0.4755 0.2283 0.3551
Ba: 0.5245 0.7717 0.6449
Ba: 0.0245 0.7717 0.3551
Ba: 0.0037 0.2185 0.1060
Ba: 0.9963 0.7815 0.8940
Ba: 0.5037 0.2185 0.8940
Ga: 0.7500 0.0000 0.8687
Ga: 0.2500 0.0000 0.1313
I: 0.2500 0.5000 0.3870
I: 0.2500 0.5000 0.8642
I: 0.7500 0.0000 0.3773
I: 0.2500 0.0000 0.6227
I: 0.7500 0.5000 0.6130
I: 0.7500 0.5000 0.1358



Entry 14:
Ba5GaI4: relaxed, PBE.

Results
DOS(E_F): 4.0 states/eV/cell
Raw formation energy: -1.178 eV per atom
Total magnetic moment: 0.0 μB per cell

abc: 7.0471 8.7310 8.7310
angles: 80.63 66.20 66.20
Sites, in units of the cell vectors:
Ga: 0.0009 0.0000 0.0000
Ba: 0.9047 0.3700 0.8225
Ba: 0.0972 0.6300 0.1775
Ba: 0.2747 0.8225 0.6300
Ba: 0.5010 0.0000 0.0000
Ba: 0.7272 0.1775 0.3700
I: 0.5915 0.6003 0.2190
I: 0.1918 0.2190 0.3997
I: 0.4108 0.3997 0.7810
I: 0.8105 0.7810 0.6003



Entry 15:
BaGa2IrI: relaxed, PBE.

Results
DOS(E_F): 1.0 states/eV/cell
Raw formation energy: -0.702 eV per atom
Total magnetic moment: 0.0 μB per cell

abc: 4.9083 4.9083 6.2642
angles: 90.00 90.00 90.00
Sites, in units of the cell vectors:
I: 0.5000 0.5000 0.5000
Ga: 0.0000 0.5000 0.0000
Ga: 0.5000 0.0000 0.0000
Ba: 0.0000 0.0000 0.5000
Ir: 0.0000 0.0000 0.0000



Entry 16:
Ba2GaIrI: relaxed, PBE.

Results
DOS(E_F): 2.7 states/eV/cell
Raw formation energy: -0.743 eV per atom
Total magnetic moment: 0.0 μB per cell

abc: 6.1854 6.1854 4.8056
angles: 90.00 90.00 90.00
Sites, in units of the cell vectors:
Ba: 0.5000 0.0000 0.0000
Ba: 0.0000 0.5000 0.0000
I: 0.5000 0.5000 0.5000
Ga: 0.0000 0.0000 0.5000
Ir: 0.0000 0.0000 0.0000



Entry 17:
BaLi2GaI: relaxed, PBE.

Results
DOS(E_F): 3.4 states/eV/cell
Raw formation energy: -0.230 eV per atom
Total magnetic moment: 0.0 μB per cell
ΔE to the lowest computed polymorph: 0.166 eV per atom

abc: 5.1758 6.8091 5.1758
angles: 90.00 90.00 90.00
Sites, in units of the cell vectors:
Li: 0.0000 0.0000 0.5000
Li: 0.5000 0.0000 0.0000
I: 0.0000 0.0000 0.0000
Ba: 0.0000 0.5000 0.0000
Ga: 0.5000 0.5000 0.5000



Entry 18:
BaLi2GaI: relaxed, PBE.

Results
DOS(E_F): 3.8 states/eV/cell
Raw formation energy: -0.396 eV per atom
Total magnetic moment: 0.0 μB per cell
ΔE to the lowest computed polymorph: 0.000 eV per atom

abc: 5.1987 6.3584 5.1987
angles: 90.00 90.00 90.00
Sites, in units of the cell vectors:
Ga: 0.0000 0.0000 0.0000
I: 0.5000 0.5000 0.5000
Li: 0.0000 0.0000 0.5000
Li: 0.5000 0.0000 0.0000
Ba: 0.0000 0.5000 0.0000



Entry 19:
BaMgGaI2: relaxed, PBE.

Results
DOS(E_F): 2.9 states/eV/cell
Raw formation energy: -0.491 eV per atom
Total magnetic moment: 0.0 μB per cell

abc: 6.1049 5.2996 6.1049
angles: 90.00 90.00 90.00
Sites, in units of the cell vectors:
Mg: 0.0000 0.5000 0.0000
Ba: 0.5000 0.5000 0.5000
I: 0.5000 0.0000 0.0000
I: 0.0000 0.0000 0.5000
Ga: 0.0000 0.0000 0.0000



Entry 20:
BaMn2GaI8: relaxed, PBE.

Results
DOS(E_F): 2.9 states/eV/cell
Raw formation energy: -0.674 eV per atom
Total magnetic moment: 9.0 μB per cell

abc: 7.4425 7.4425 10.1183
angles: 90.00 90.00 120.00
Sites, in units of the cell vectors:
I: 0.3146 0.0073 0.6865
I: 0.3072 0.3146 0.3135
I: 0.3333 0.6667 0.0059
I: 0.6667 0.3333 0.9941
I: 0.0073 0.6928 0.3135
I: 0.6928 0.6854 0.6865
I: 0.6854 0.9927 0.3135
I: 0.9927 0.3072 0.6865
Mn: 0.6667 0.3333 0.2559
Mn: 0.3333 0.6667 0.7441
Ba: 0.0000 0.0000 0.0000
Ga: 0.0000 0.0000 0.5000